Material: Al2CuNi
Method: DFT, PBE-GGA
State: relaxed

Summary:
calculated density = 5.57 Mg/m³
DFT total energy = -4.642 eV per atom
formation enthalpy at 0 K = -302 meV/atom

a b c (Å): 2.7690 2.7690 7.9093
angles (deg): 90.00 90.00 120.00
Last column: nearest neighbours and their distance in Å.
Space group P-3m1 (No. 164)
Unique sites:
Al 0.3333 0.6667 0.2605 (multiplicity 2)  3 Ni 2.48, 3 Cu 2.61, 6 Al 2.77
Cu 0.0000 0.0000 0.0000 (multiplicity 1)  6 Al 2.61, 6 Cu 2.77
Ni 0.0000 0.0000 0.5000 (multiplicity 1)  6 Al 2.48, 6 Ni 2.77

Material: Al2CuNi8
Method: DFT, PBE-GGA
State: relaxed

Summary:
calculated density = 7.60 Mg/m³
DFT total energy = -5.426 eV per atom
energy above the most stable polymorph in this dataset = 0 meV/atom
formation enthalpy at 0 K = -169 meV/atom

a b c (Å): 3.8526 6.2146 10.7183
angles (deg): 90.00 90.00 90.00
Last column: nearest neighbours and their distance in Å.
Space group Immm (No. 71)
Unique sites:
Al 0.0000 0.0000 0.2020 (multiplicity 4)  10 Ni 2.40-2.50
Cu 0.0000 0.0000 0.5000 (multiplicity 2)  12 Ni 2.39-2.68
Ni 0.0000 0.2009 0.0000 (multiplicity 4)  7 Ni 2.46-2.50, 2 Al 2.50, 2 Cu 2.68
Ni 0.0000 0.2888 0.3521 (multiplicity 8)  1 Cu 2.39, 3 Al 2.40-2.41, 6 Ni 2.50-2.63
Ni 0.0000 0.5000 0.1502 (multiplicity 4)  8 Ni 2.46-2.63, 2 Al 2.49, 2 Cu 2.51

Material: Al2CuNi
Method: DFT, PBE-GGA
State: relaxed

Summary:
calculated density = 5.63 Mg/m³
DFT total energy = -4.539 eV per atom
formation enthalpy at 0 K = -198 meV/atom

a b c (Å): 5.9233 5.9233 5.9233
angles (deg): 90.00 90.00 90.00
Last column: nearest neighbours and their distance in Å.
Space group F-43m (No. 216)
Unique sites:
Al 0.0000 0.0000 0.0000 (multiplicity 4)  4 Al 2.56, 4 Cu 2.56
Al 0.2500 0.2500 0.2500 (multiplicity 4)  4 Ni 2.56, 4 Al 2.56
Cu 0.2500 0.2500 0.7500 (multiplicity 4)  4 Ni 2.56, 4 Al 2.56
Ni 0.0000 0.0000 0.5000 (multiplicity 4)  4 Al 2.56, 4 Cu 2.56

Material: AlCu3Ni2
Method: DFT, PBE-GGA
State: relaxed

Summary:
calculated density = 7.54 Mg/m³
DFT total energy = -4.595 eV per atom
energy above the most stable polymorph in this dataset = 214 meV/atom
formation enthalpy at 0 K = 4 meV/atom

a b c (Å): 4.6783 4.6783 7.7833
angles (deg): 90.00 90.00 120.00
Last column: nearest neighbours and their distance in Å.
Space group P6_3/mmc (No. 194)
Unique sites:
Al 0.0000 0.0000 0.0000 (multiplicity 2)  6 Cu 2.39
Cu 0.1705 0.3411 0.2500 (multiplicity 6)  4 Cu 2.28-2.39, 2 Al 2.39
Ni 0.3333 0.6667 0.5611 (multiplicity 4)  3 Al 2.74, 9 Cu 2.76, 4 Ni 2.86-2.94